# Cr3Cd, relaxed, DFT PBE
# Total magnetic moment (Bohr magnetons per cell): 15.0
# Offset from the most stable computed form (meV per atom): 153
# Theoretical density (g/cm3): 7.2
# VASP energy (eV/atom): -6.973
data_Cr3Cd
_chemical_formula_sum 'Cr12 Cd4'
_cell_length_a 6.276
_cell_length_b 6.276
_cell_length_c 6.276
_cell_angle_alpha 90.00
_cell_angle_beta 90.00
_cell_angle_gamma 90.00
_space_group_name_H-M_alt 'F m -3 m'
_space_group_IT_number 225
_space_group_name_Hall '-F 4 2 3'
loop_
_atom_site_label
_atom_site_fract_x
_atom_site_fract_y
_atom_site_fract_z
Cr1 0.000 0.000 0.000
Cr2 0.250 0.250 0.250
Cd1 0.000 0.000 0.500